(1)
First-principles (GGA-PBE) data for HgSb2S4 after structural relaxation, as listed in Alexandria via LeMat-Bulk.

abc: 8.2234 8.2234 7.6421
angles: 105.43 105.43 120.39
Positions (direct):
Sb  0.7916  0.9733  0.0081
Hg  0.2602  0.5101  0.5003
S  0.2396  0.1999  0.7079
Sb  0.9733  0.7916  0.5081
S  0.7062  0.7513  0.2004
S  0.1999  0.2396  0.2079
S  0.2558  0.8009  0.3000
Sb  0.5335  0.2152  0.4923
Hg  0.5101  0.2602  0.0003
Sb  0.2152  0.5335  0.9923
S  0.7513  0.7062  0.7004
S  0.7420  0.2817  0.2925
S  0.8009  0.2558  0.8000
S  0.2817  0.7420  0.7925

Properties
E above lowest polymorph   0.000 eV/atom
Crystal system   orthorhombic
Raw formation energy   -142 meV/atom
SG   No. 43


(2)
First-principles (GGA-PBE) data for Sc2CuPd after structural relaxation, as listed in Alexandria via LeMat-Bulk.

abc: 9.9527 9.9527 9.9527
angles: 17.45 17.45 17.45
Positions (direct):
Cu  0.0000  0.0000  0.0000
Pd  0.5000  0.5000  0.5000
Sc  0.9091  0.9091  0.9091
Sc  0.0909  0.0909  0.0909

Properties
Crystal system   trigonal
DFT total energy   -21.651 eV for the cell shown
SG   No. 166


(3)
First-principles (GGA-PBE) data for KBe2MoPt after structural relaxation, as listed in Alexandria via LeMat-Bulk.

abc: 4.3242 4.4633 4.3242
angles: 90.00 90.00 90.00
Each line ends with the local moment (μB).
Positions (direct):
Mo  0.0000  0.5000  0.0000  0.75
Pt  0.5000  0.5000  0.5000  0.10
K  0.0000  0.0000  0.0000  0.07
Be  0.0000  0.0000  0.5000  0.00
Be  0.5000  0.0000  0.0000  -0.01

Properties
Crystal system   tetragonal
DFT total energy   -12.210 eV for the cell shown
SG   No. 123


(4)
First-principles (GGA-PBE) data for AlSiPN4 after structural relaxation, as listed in Alexandria via LeMat-Bulk.

abc: 4.6805 2.9979 10.0031
angles: 90.00 106.31 90.00
Positions (direct):
N  0.0046  0.0000  0.1984
N  0.5828  0.5000  0.7998
N  0.1291  0.0000  0.8978
N  0.4852  0.5000  0.0647
Si  0.7973  0.5000  0.2335
N  0.1291  0.5000  0.3978
N  0.0046  0.5000  0.6984
N  0.4852  0.0000  0.5647
Al  0.2887  0.5000  0.6042
N  0.5828  0.0000  0.2998
Si  0.7973  0.0000  0.7335
P  0.3138  0.0000  0.3787
P  0.3138  0.5000  0.8787
Al  0.2887  0.0000  0.1042

Properties
E above lowest polymorph   0.224 eV/atom
Crystal system   monoclinic
Raw formation energy   -556 meV/atom
SG   No. 8


(5)
First-principles (GGA-PBE) data for Er2HfTl2Se6 after structural relaxation, as listed in Alexandria via LeMat-Bulk.

abc: 6.9656 6.9656 8.2235
angles: 98.40 98.40 119.82
Positions (direct):
Se  0.9302  0.6138  0.3013
Er  0.6677  0.3323  0.5000
Se  0.3862  0.0698  0.6987
Tl  0.8304  0.1696  0.0000
Se  0.2488  0.2488  0.3012
Se  0.0698  0.3862  0.6987
Tl  0.1696  0.8304  0.0000
Se  0.6138  0.9302  0.3013
Hf  0.0000  0.0000  0.5000
Se  0.7512  0.7512  0.6988
Er  0.3323  0.6677  0.5000

Properties
Crystal system   monoclinic
Raw formation energy   -1372 meV/atom
SG   No. 12


(6)
First-principles (GGA-PBE) data for Ac2ThSb after structural relaxation, as listed in Alexandria via LeMat-Bulk.

abc: 3.6613 3.6613 12.9532
angles: 81.88 81.88 60.00
Positions (direct):
Ac  0.0946  0.0946  0.7162
Th  0.0000  0.0000  0.0000
Ac  0.9054  0.9054  0.2838
Sb  0.5000  0.5000  0.5000

Properties
E above lowest polymorph   0.435 eV/atom
Crystal system   trigonal
Raw formation energy   96 meV/atom
SG   No. 166


(7)
First-principles (GGA-PBE) data for CsNaTaO4 after structural relaxation, as listed in Alexandria via LeMat-Bulk.

abc: 6.3838 6.3838 6.4991
angles: 119.41 119.41 90.00
Each line ends with the local moment (μB).
Positions (direct):
Na  0.5000  0.5000  0.0000  0.00
O  0.3452  0.7412  0.2665  0.22
O  0.4747  0.6548  0.7335  0.22
Ta  0.2500  0.7500  0.5000  -0.08
O  0.2588  0.0788  0.7335  0.22
O  0.9212  0.5253  0.2665  0.22
Cs  0.0000  0.0000  0.0000  0.00

Properties
Crystal system   tetragonal
Raw formation energy   -1995 meV/atom
SG   No. 82


(8)
First-principles (GGA-PBE) data for Hf3SnSb after structural relaxation, as listed in Alexandria via LeMat-Bulk.

abc: 5.2239 5.2239 5.2239
angles: 90.00 90.00 90.00
Positions (direct):
Hf  0.5000  0.0000  0.0000
Sb  0.0000  0.0000  0.0000
Hf  0.0000  0.0000  0.5000
Hf  0.0000  0.5000  0.0000
Sn  0.5000  0.5000  0.5000

Properties
E above lowest polymorph   1.097 eV/atom
Crystal system   cubic
Raw formation energy   828 meV/atom
SG   No. 221


Summary of ρ in Mg/m³
5.0 5.6 6.9 3.5 7.0 9.0 3.5 9.0
(order as listed above)